Entry 1:
TlOs4Pt after structural relaxation. Source: Alexandria, functional PBE.

Summary:
Calculated formation energy, eV/atom: 1.0146

a = 7.3930 Å, b = 7.3930 Å, c = 7.3930 Å
α = 90.00°, β = 90.00°, γ = 90.00°
Last column: nearest neighbours and their distance in Å.
Space group F-43m (No. 216)
Asymmetric unit:
Tl  0.0000  0.0000  0.0000 x4  12 Os 3.07, 4 Pt 3.20
Os  0.1240  0.1240  0.3760 x16  6 Os 2.59-2.63
Pt  0.2500  0.2500  0.7500 x4  12 Os 3.06, 4 Tl 3.20

Entry 2:
DyErCdRh after structural relaxation. Source: Alexandria, functional PBE.

Summary:
Excess energy over the best structure of this formula in the dataset, kcal/mol of atoms: 2.04
Calculated formation energy, eV/atom: -0.5441

a = 7.1143 Å, b = 7.1143 Å, c = 7.1143 Å
α = 90.00°, β = 90.00°, γ = 90.00°
Last column: nearest neighbours and their distance in Å.
Space group F-43m (No. 216)
Asymmetric unit:
Dy  0.0000  0.0000  0.0000 x4  4 Cd 3.08, 4 Rh 3.08
Er  0.0000  0.0000  0.5000 x4  4 Cd 3.08, 4 Rh 3.08
Cd  0.2500  0.2500  0.2500 x4  4 Dy 3.08, 4 Er 3.08
Rh  0.2500  0.2500  0.7500 x4  4 Dy 3.08, 4 Er 3.08